Entry 1:
Density functional theory data (PBE) for crystalline CaHf2BC at its relaxed geometry.

Calculated values
- calculated volume (A^3/atom) = 19.6
- crystal system = tetragonal

Lattice parameters (Å, degrees): 4.9865 4.9865 3.9387 90.00 90.00 90.00
Closest atoms and distances in Å follow each position.
Fractional coordinates of all 5 atoms:
Ca1 0.0000 0.0000 0.0000  2 B 1.97
Hf1 0.0000 0.5000 0.0000  2 Ca 2.49
Hf2 0.5000 0.0000 0.0000  2 Ca 2.49
B1 0.0000 0.0000 0.5000  2 Ca 1.97
C1 0.5000 0.5000 0.5000  8 Hf 3.18, 4 B 3.53

=====

Entry 2:
Density functional theory data (PBE) for crystalline KBe3 at its relaxed geometry.

Calculated values
- calculated volume (A^3/atom) = 17.1
- crystal system = trigonal
- energy relative to the lowest polymorph listed for this composition (eV/atom) = 0.860

Lattice parameters (Å, degrees): 5.7203 5.7203 5.7203 117.98 117.98 117.98
Closest atoms and distances in Å follow each position.
Fractional coordinates of all 4 atoms:
K1 0.0000 0.0000 0.0000  2 K 2.46
Be1 0.0000 0.5000 0.5000  2 Be 2.46
Be2 0.5000 0.0000 0.5000  2 Be 2.46
Be3 0.5000 0.5000 0.0000  2 Be 2.46

=====

Results for VASP energy: -4.378 -1.711 (in eV per atom, following the order of the records).
Results for calculated formation energy: 3.1843 1.3576 (in eV per atom, following the order of the records).
Results for density: 7.12 1.61 (in g/cm3, following the order of the records).